1.
VASP calculation (PBE-GGA) on crystalline Pr8Os3PdI4 at its relaxed geometry.

The structure in POSCAR format:
```
Pr8Os3PdI4
1.0
-3.457 -7.579 1.526
8.707 -3.701 1.343
-2.047 6.640 4.845
Pr Os Pd I
8 3 1 4
Direct
0.236 0.687 0.951
0.236 0.687 0.472
0.271 0.312 0.541
0.715 0.687 0.951
0.285 0.313 0.049
0.729 0.688 0.459
0.764 0.313 0.528
0.764 0.313 0.049
0.500 0.500 0.000
0.500 0.500 0.500
0.000 0.500 0.500
0.000 0.500 0.000
0.500 0.000 0.000
0.500 0.000 0.500
0.000 0.000 0.000
0.000 0.000 0.500
```

uncorrected formation energy = -0.632 eV/atom



2.
VASP calculation (PBE-GGA) on crystalline MgBeRu2 at its relaxed geometry.

The structure in POSCAR format:
```
MgBeRu2
1.0
-1.600 -3.817 0.310
3.758 -1.617 -0.696
0.556 0.009 2.981
Ru Mg Be
2 1 1
Direct
0.000 0.000 0.000
0.500 0.500 0.000
0.000 0.500 0.500
0.500 0.000 0.500
```

energy = -5.788 eV/atom



3.
VASP calculation (PBE-GGA) on crystalline RbSr2Cl5 at its relaxed geometry.

The structure in POSCAR format:
```
RbSr2Cl5
1.0
4.404 0.000 -0.875
-0.618 6.612 -3.110
-0.535 0.037 8.830
Rb Sr Cl
1 2 5
Direct
0.000 0.000 0.000
0.184 0.684 0.368
0.816 0.316 0.632
0.000 0.500 0.000
0.657 0.395 0.315
0.343 0.605 0.685
0.657 0.919 0.315
0.343 0.081 0.685
```

excess energy over the best structure of this formula in the dataset = 28 meV per atom
uncorrected formation energy = -2.334 eV/atom



4.
VASP calculation (PBE-GGA) on crystalline DyYPb6 at its relaxed geometry.

The structure in POSCAR format:
```
DyYPb6
1.0
-2.840 -3.936 0.512
1.362 -1.558 -4.420
7.463 -4.863 4.013
Dy Y Pb
1 1 6
Direct
0.000 0.000 0.500
0.000 0.000 0.000
0.500 0.500 0.000
0.500 0.500 0.500
0.500 0.000 0.250
0.500 0.000 0.750
0.000 0.500 0.250
0.000 0.500 0.750
```

energy = -4.448 eV/atom



5.
VASP calculation (PBE-GGA) on crystalline TbSmErIn at its relaxed geometry.

The structure in POSCAR format:
```
TbSmErIn
1.0
5.465 0.000 0.000
0.000 5.465 0.000
-2.733 -2.733 3.870
Tb Sm Er In
1 1 1 1
Direct
0.500 0.500 0.000
0.250 0.750 0.500
0.000 0.000 0.000
0.750 0.250 0.500
```

excess energy over the best structure of this formula in the dataset = 42 meV per atom



6.
VASP calculation (PBE-GGA) on crystalline Co2BiS2 at its relaxed geometry.

The structure in POSCAR format:
```
Co2BiS2
1.0
-5.166 -5.806 -0.330
2.763 -2.062 -6.972
2.099 -1.948 1.408
S Co Bi
4 4 2
Direct
0.358 0.858 0.000
0.858 0.642 0.000
0.642 0.142 0.000
0.142 0.358 0.000
0.236 0.736 0.500
0.736 0.764 0.500
0.764 0.264 0.500
0.264 0.236 0.500
0.000 0.000 0.000
0.500 0.500 0.000
```

uncorrected formation energy = 0.317 eV/atom



7.
VASP calculation (PBE-GGA) on crystalline CaTb2ThSb4 at its relaxed geometry.

The structure in POSCAR format:
```
CaTb2ThSb4
1.0
-2.855 -5.622 -0.261
0.109 -0.348 6.300
-4.276 5.842 -2.764
Ca Tb Th Sb
1 2 1 4
Direct
0.438 0.438 0.000
0.187 0.687 0.500
0.687 0.187 0.500
0.937 0.937 0.000
0.938 0.437 0.000
0.437 0.938 0.000
0.185 0.185 0.497
0.688 0.688 0.503
```

uncorrected formation energy = -1.065 eV/atom



8.
VASP calculation (PBE-GGA) on crystalline CsSc3Os at its relaxed geometry.

The structure in POSCAR format:
```
CsSc3Os
1.0
-4.008 1.569 2.644
0.291 -4.131 2.892
3.061 2.447 3.187
Cs Sc Os
1 3 1
Direct
0.000 0.000 0.000
0.000 0.500 0.000
0.000 0.000 0.500
0.500 0.000 0.000
0.500 0.500 0.500
```

excess energy over the best structure of this formula in the dataset = 1867 meV per atom



| no. | total moment (μB/atom) |
| --- | --- |
| 1 | 0.000 |
| 2 | 0.000 |
| 3 | 0.008 |
| 4 | 0.000 |
| 5 | 0.334 |
| 6 | 0.000 |
| 7 | 0.000 |
| 8 | 0.241 |